[1]
NaErCdSe3 | PBE-GGA | relaxed

abc: 4.1346 13.8757 11.0552
angles: 90.00 90.00 90.00
Closest atoms and distances in Å follow each position.
Space group Cmcm (No. 63)
Symmetry-distinct sites (fractional):
Na1 0.0000 0.2455 0.2500 (multiplicity 4)  6 Se 3.10-3.35
Er1 0.0000 0.0000 0.0000 (multiplicity 4)  6 Se 2.87-3.02
Cd1 0.0000 0.4663 0.7500 (multiplicity 4)  4 Se 2.60-2.67
Se1 0.0000 0.0879 0.7500 (multiplicity 4)  2 Cd 2.67
Se2 0.0000 0.3626 0.5536 (multiplicity 8)  1 Cd 2.60, 2 Er 2.87



[2]
NaErCdSe3 | PBE-GGA | relaxed

abc: 8.2148 4.1976 10.5269
angles: 90.00 106.39 90.00
Closest atoms and distances in Å follow each position.
Space group P2_1/m (No. 11)
Symmetry-distinct sites (fractional):
Na1 0.1916 0.2500 0.1689 (multiplicity 2)  5 Se 2.99-3.11
Er1 0.3274 0.7500 0.8580 (multiplicity 2)  6 Se 2.84-2.99
Cd1 0.0744 0.2500 0.6087 (multiplicity 2)  4 Se 2.63-2.79
Se1 0.0833 0.2500 0.8606 (multiplicity 2)  1 Cd 2.63, 2 Er 2.91
Se2 0.2534 0.7500 0.5628 (multiplicity 2)  3 Cd 2.68-2.79, 1 Er 2.99
Se3 0.4375 0.7500 0.1388 (multiplicity 2)  3 Er 2.84-2.85, 2 Na 2.99



One value per record, in order, for energy above the most stable polymorph in this dataset: 0.026; 0.000 eV/atom.
One value per record, in order, for total moment: 0.01; 0.00 μB/f.u..